The following is a DFT calculation (PBE) of a relaxed CaPmSc2Hg4 crystal. Values from VASP.

## Properties
**Total magnetization**: 0.0 Bohr magnetons per cell
**Space group**: R-3m
**Density of states at the Fermi level**: 0.755 states/eV per atom
**Calculated formation energy**: -0.44 eV/atom

The structure in Quantum ESPRESSO input format:
```
&SYSTEM
  ibrav = 0, nat = 8, ntyp = 4
/
ATOMIC_SPECIES
Ca 40.08 Ca.upf
Sc 44.96 Sc.upf
Hg 200.59 Hg.upf
Pm 145.00 Pm.upf
CELL_PARAMETERS angstrom
-0.134 -1.995 4.764
4.134 0.379 3.076
-1.586 6.853 5.626
ATOMIC_POSITIONS crystal
Ca 0.500 0.500 0.500
Sc 0.248 0.248 0.256
Hg 0.125 0.125 0.624
Hg 0.623 0.623 0.130
Sc 0.752 0.752 0.744
Hg 0.875 0.875 0.376
Pm 0.000 0.000 0.000
Hg 0.377 0.377 0.870
```